1.
GdPuZn | GGA-PBE | optimized geometry

Properties
As for the energy above the most stable polymorph in this dataset: 129 meV per atom. As for the formation energy: 0.2 eV/f.u. As for the density of states at the Fermi level: 2.492 states/eV per atom.

a = 5.0837 Å, b = 5.0837 Å, c = 3.3288 Å
α = 90.00°, β = 90.00°, γ = 120.00°
Space group P3m1 (No. 156)
Unique sites:
Gd 0.0000 0.0000 0.0000
Pu 0.6667 0.3333 0.4225
Zn 0.3333 0.6667 0.7045



2.
Y3MgV | GGA-PBE | optimized geometry

Properties
As for the energy above the most stable polymorph in this dataset: 0 meV per atom. As for the formation energy: 2.2 eV/f.u. As for the density of states at the Fermi level: 1.117 states/eV per atom.

a = 5.337 Å, b = 5.337 Å, c = 5.337 Å
α = 90.00°, β = 90.00°, γ = 90.00°
Space group Pm-3m (No. 221)
Unique sites:
Y 0.000 0.000 0.500
Mg 0.500 0.500 0.500
V 0.000 0.000 0.000



3.
Ge7Ir3 | GGA-PBE | optimized geometry

Properties
As for the formation energy: -2.7 eV/f.u. As for the density of states at the Fermi level: 0.119 states/eV per atom.

a = 8.787 Å, b = 8.787 Å, c = 8.787 Å
α = 90.00°, β = 90.00°, γ = 90.00°
Space group Im-3m (No. 229)
Unique sites:
Ge 0.000 0.250 0.500
Ge 0.167 0.167 0.167
Ir 0.000 0.000 0.340